Version A
Entry from Alexandria: crystalline Mn2FeI at its relaxed geometry (GGA-PBE).

Results
The value obtained for the density of states at the Fermi level is 10.06 states/eV/cell. The value obtained for the volume is 13.15 Å³ per atom. As for the density: 9.24 g/cm3.

abc: 4.206 4.206 4.206
angles: 60.00 60.00 60.00
Fractional coordinates of all 4 atoms:
I1 0.500 0.500 0.500
Fe1 0.000 0.000 0.000
Mn1 0.250 0.250 0.250
Mn2 0.750 0.750 0.750

---

Version B
Entry from Alexandria: crystalline Mn2FeI at its relaxed geometry (GGA-PBE).

Results
The value obtained for the density of states at the Fermi level is 11.04 states/eV/cell. The value obtained for the volume is 21.01 Å³ per atom. As for the density: 5.78 g/cm3.

abc: 6.518 6.518 6.075
angles: 57.56 57.56 90.00
Site moments in Bohr magnetons follow the coordinates.
Fractional coordinates of all 8 atoms:
I1 0.750 0.250 0.500  0.03
Mn1 0.875 0.818 0.750  3.39
Mn2 0.568 0.125 0.250  3.32
Mn3 0.182 0.625 0.250  3.29
I2 0.000 0.000 0.000  0.03
Mn4 0.375 0.432 0.750  3.31
Fe1 0.500 0.500 0.000  -1.76
Fe2 0.250 0.750 0.500  -1.77

---

Most stable structure: version B

---

Version A
Entry from Alexandria: crystalline MnFeI2 at its relaxed geometry (GGA-PBE).

Results
The value obtained for the density of states at the Fermi level is 2.80 states/eV/cell. The value obtained for the volume is 22.93 Å³ per atom. As for the density: 6.60 g/cm3.

abc: 5.062 5.062 5.062
angles: 60.00 60.00 60.00
Site moments in Bohr magnetons follow the coordinates.
Fractional coordinates of all 4 atoms:
Fe1 0.500 0.500 0.500  -2.96
I1 0.250 0.250 0.250  -0.01
I2 0.750 0.750 0.750  -0.01
Mn1 0.000 0.000 0.000  4.10

---

Version B
Entry from Alexandria: crystalline MnFeI2 at its relaxed geometry (GGA-PBE).

Results
The value obtained for the density of states at the Fermi level is 12.82 states/eV/cell. The value obtained for the volume is 26.89 Å³ per atom. As for the density: 5.63 g/cm3.

abc: 5.989 5.989 7.342
angles: 65.93 65.93 90.00
Site moments in Bohr magnetons follow the coordinates.
Fractional coordinates of all 8 atoms:
Mn1 0.500 0.500 0.000  3.88
I1 0.095 0.625 0.250  0.01
I2 0.375 0.345 0.750  0.01
I3 0.655 0.125 0.250  0.01
I4 0.875 0.905 0.750  0.01
Mn2 0.250 0.750 0.500  3.88
Fe1 0.000 0.000 0.000  0.23
Fe2 0.750 0.250 0.500  0.23

---

Most stable structure: version B

---

Version A
Entry from Alexandria: crystalline MnFeIN2 at its relaxed geometry (GGA-PBE).

Results
The value obtained for the density of states at the Fermi level is 7.03 states/eV/cell. The value obtained for the volume is 15.47 Å³ per atom. As for the density: 5.70 g/cm3.

abc: 3.662 3.662 5.769
angles: 90.00 90.00 90.00
Site moments in Bohr magnetons follow the coordinates.
Fractional coordinates of all 5 atoms:
N1 0.000 0.500 0.000  0.07
Fe1 0.500 0.500 0.500  2.85
Mn1 0.000 0.000 0.000  -0.26
N2 0.500 0.000 0.000  0.07
I1 0.000 0.000 0.500  0.06

---

Version B
Entry from Alexandria: crystalline MnFeIN2 at its relaxed geometry (GGA-PBE).

Results
The value obtained for the density of states at the Fermi level is 4.28 states/eV/cell. The value obtained for the volume is 16.77 Å³ per atom. As for the density: 5.26 g/cm3.

abc: 3.673 3.673 6.214
angles: 90.00 90.00 90.00
Site moments in Bohr magnetons follow the coordinates.
Fractional coordinates of all 5 atoms:
I1 0.000 0.000 0.500  0.04
Mn1 0.500 0.500 0.500  3.89
N1 0.000 0.500 0.000  0.03
N2 0.500 0.000 0.000  0.03
Fe1 0.000 0.000 0.000  -0.47

---

Most stable structure: version A